## Dy2Y3TmTe6 (PBE)

Data for Dy2Y3TmTe6 after structural relaxation.

a b c (Å): 4.334 8.739 9.727
angles (deg): 102.93 102.87 90.00
Atoms (fractional coordinates):
Te  0.000  0.754  0.000
Te  0.336  0.917  0.672
Y  0.500  0.500  0.000
Te  0.666  0.583  0.332
Te  0.000  0.246  0.000
Y  0.169  0.833  0.339
Dy  0.168  0.336  0.337
Dy  0.832  0.664  0.663
Te  0.664  0.083  0.328
Tm  0.500  0.000  0.000
Te  0.334  0.417  0.668
Y  0.831  0.167  0.661

crystal system	monoclinic
E_tot	-5.603	eV/atom
density of states at the Fermi level	0.554	states/eV per atom
size of the total moment	0.0	μB per formula unit